Version a
Compound: Cr2CN
Source: Alexandria
Functional: GGA-PBE
Structure: relaxed

POSCAR file:
```
Cr2CN
1.0
-1.990 -0.177 -1.884
0.567 -0.958 -2.510
-1.528 -5.077 0.090
Cr N C
2 1 1
Cartesian
-0.736 -1.546 -1.079
-1.270 -3.927 -0.291
-1.470 -3.083 -2.160
-0.950 -0.763 -2.927
```

Total moment, Bohr magnetons per cell: 0.04

***

Version b
Compound: Cr2CN
Source: Alexandria
Functional: GGA-PBE
Structure: relaxed

POSCAR file:
```
Cr2CN
1.0
4.400 0.000 0.000
0.000 4.400 0.000
2.200 2.200 4.403
Cr C N
4 2 2
Cartesian
1.074 3.300 1.101
3.326 1.100 1.101
5.500 5.526 3.302
3.300 3.274 3.302
2.200 2.200 0.000
2.200 4.400 2.201
4.400 2.200 2.201
0.000 0.000 0.000
```

Total moment, Bohr magnetons per cell: 6.00

***

Relative stability in meV/atom, measured from the most stable structure: version a 0; version b 122